No. 1
A relaxed structure of Pu2MnReN5, computed with PBE.

Output
Electronic total energy, eV for the cell shown: -195.3
Formation energy from raw total energies, kcal/mol of atoms: -14.7
Crystal system: orthorhombic
Space-group type: Cmc2_1 (36)
ρ, kg/m3: 12908

Unit cell a=3.1638 b=6.5424 c=10.2377 alpha=90.00 beta=90.00 gamma=103.99
Last column: nearest neighbours and their distance in Å.
Fractional positions:
N  0.7225  0.4451  0.1502  2 Mn 2.03, 1 Pu 2.23
N  0.3729  0.7458  0.9943  1 Mn 2.10, 1 Re 2.23
N  0.3145  0.6291  0.3811  1 Re 1.92
N  0.4895  0.9790  0.7739  1 Re 1.94
N  0.5105  0.0210  0.2739  1 Re 1.94
N  0.9376  0.8752  0.5741  1 Mn 1.93, 2 Re 2.04
N  0.2775  0.5549  0.6502  2 Mn 2.03, 1 Pu 2.23
N  0.6855  0.3709  0.8811  1 Re 1.92
N  0.0624  0.1248  0.0741  1 Mn 1.93, 2 Re 2.04
N  0.6271  0.2542  0.4943  1 Mn 2.10, 1 Re 2.23
Re  0.5447  0.0893  0.9506  4 N 1.92-2.04
Re  0.4553  0.9107  0.4506  4 N 1.92-2.04
Mn  0.7902  0.5803  0.5274  4 N 1.93-2.10
Mn  0.2098  0.4197  0.0274  4 N 1.93-2.10
Pu  0.8521  0.7043  0.8065  7 N 2.25-2.50
Pu  0.1479  0.2957  0.3065  7 N 2.25-2.50
Pu  0.8979  0.7957  0.1660  6 N 2.23-2.40
Pu  0.1021  0.2043  0.6660  6 N 2.23-2.40



No. 2
A relaxed structure of Cs2AgCl2, computed with PBE.

Output
Electronic total energy, eV for the cell shown: -13.1
Formation energy from raw total energies, kcal/mol of atoms: -22.5
Offset from the most stable computed form, eV/atom: 0.0876
Crystal system: tetragonal
Space-group type: I4/mmm (139)
ρ, kg/m3: 2689

Unit cell a=6.4931 b=6.4931 c=7.9684 alpha=65.96 beta=65.96 gamma=90.00
Last column: nearest neighbours and their distance in Å.
Fractional positions:
Cl  0.2500  0.7500  0.5000  4 Cs 3.37
Cl  0.7500  0.2500  0.5000  4 Cs 3.37
Ag  0.0000  0.0000  0.0000  2 Cs 4.16, 8 Cl 4.60
Cs  0.6803  0.6803  0.6395  4 Cl 3.37
Cs  0.3197  0.3197  0.3605  4 Cl 3.37



No. 3
A relaxed structure of Ge2AuBr, computed with PBE.

Output
Electronic total energy, eV for the cell shown: -12.9
Formation energy from raw total energies, kcal/mol of atoms: 7.7
Offset from the most stable computed form, eV/atom: 0.4367
Crystal system: cubic
Space-group type: Fm-3m (225)
ρ, kg/m3: 8405

Unit cell a=4.9042 b=4.9042 c=4.9042 alpha=60.00 beta=60.00 gamma=60.00
Last column: nearest neighbours and their distance in Å.
Fractional positions:
Au  0.5000  0.5000  0.5000  8 Ge 3.00
Br  0.0000  0.0000  0.0000  8 Ge 3.00
Ge  0.7500  0.7500  0.7500  4 Au 3.00, 4 Br 3.00
Ge  0.2500  0.2500  0.2500  4 Au 3.00, 4 Br 3.00



No. 4
A relaxed structure of Sm3B7Ir, computed with PBE.

Output
Energy of formation, eV per atom: -0.494
Electronic total energy, eV for the cell shown: -150.4
Crystal system: orthorhombic
Space-group type: Cmcm (63)
ρ, kg/m3: 8726

Unit cell a=3.5530 b=8.2537 c=9.5552 alpha=90.00 beta=90.00 gamma=102.43
Last column: nearest neighbours and their distance in Å.
Fractional positions:
B  0.4617  0.9234  0.7500  2 B 1.75
B  0.5383  0.0766  0.2500  2 B 1.75
B  0.2732  0.5463  0.0328  3 B 1.90-2.03
B  0.2732  0.5463  0.4672  3 B 1.90-2.03
B  0.7268  0.4537  0.9672  3 B 1.90-2.03
B  0.6329  0.2657  0.6520  3 B 1.85-1.90
B  0.3671  0.7343  0.1520  3 B 1.85-1.90
B  0.7268  0.4537  0.5328  3 B 1.90-2.03
B  0.4771  0.9543  0.4017  2 B 1.75-1.85
B  0.4771  0.9543  0.0983  2 B 1.75-1.85
B  0.5229  0.0457  0.9017  2 B 1.75-1.85
B  0.3671  0.7343  0.3480  3 B 1.85-1.90
B  0.5229  0.0457  0.5983  2 B 1.75-1.85
B  0.6329  0.2657  0.8480  3 B 1.85-1.90
Sm  0.2464  0.4929  0.7500  10 B 2.72-2.75
Sm  0.8943  0.7886  0.9383  11 B 2.70-2.79
Sm  0.1057  0.2114  0.4383  11 B 2.70-2.79
Sm  0.8943  0.7886  0.5617  11 B 2.70-2.79
Sm  0.1057  0.2114  0.0617  11 B 2.70-2.79
Sm  0.7536  0.5071  0.2500  10 B 2.72-2.75
Ir  0.9445  0.8890  0.2500  10 B 2.33-2.36
Ir  0.0555  0.1110  0.7500  10 B 2.33-2.36



No. 5
A relaxed structure of Li2PuIn2Hg2, computed with PBE.

Output
Energy of formation, eV per atom: -0.155
Electronic total energy, eV for the cell shown: -25.3
Crystal system: trigonal
Space-group type: R-3m (166)
ρ, kg/m3: 9279

Unit cell a=4.8528 b=4.8528 c=8.2859 alpha=72.97 beta=72.97 gamma=60.00
Last column: nearest neighbours and their distance in Å.
Fractional positions:
In  0.7325  0.7325  0.8024  3 Hg 2.91, 1 Li 2.94, 3 Pu 3.20
In  0.2675  0.2675  0.1976  3 Hg 2.91, 1 Li 2.94, 3 Pu 3.20
Li  0.1417  0.1417  0.5749  1 In 2.94, 3 Hg 2.97, 3 Li 3.04
Li  0.8583  0.8583  0.4251  1 In 2.94, 3 Hg 2.97, 3 Li 3.04
Hg  0.5668  0.5668  0.2997  3 In 2.91, 3 Li 2.97, 1 Hg 3.12
Hg  0.4332  0.4332  0.7003  3 In 2.91, 3 Li 2.97, 1 Hg 3.12
Pu  0.0000  0.0000  0.0000  6 In 3.20, 2 Li 3.31



No. 6
A relaxed structure of Tb2CeIr, computed with PBE.

Output
Energy of formation, eV per atom: -0.081
Electronic total energy, eV for the cell shown: -24.4
Offset from the most stable computed form, eV/atom: 0.4239
Crystal system: trigonal
Space-group type: R-3m (166)
ρ, kg/m3: 8410

Unit cell a=3.7553 b=3.7553 c=10.7325 alpha=79.92 beta=79.92 gamma=60.00
Last column: nearest neighbours and their distance in Å.
Fractional positions:
Tb  0.1133  0.1133  0.6600  3 Ir 2.74
Tb  0.8867  0.8867  0.3400  3 Ir 2.74
Ce  0.0000  0.0000  0.0000  2 Tb 3.57, 6 Ce 3.76
Ir  0.5000  0.5000  0.5000  6 Tb 2.74



No. 7
A relaxed structure of InTcRh2, computed with PBE.

Output
Energy of formation, eV per atom: -0.090
Electronic total energy, eV for the cell shown: -28.2
Crystal system: orthorhombic
Space-group type: Pmmm (47)
ρ, kg/m3: 11096

Unit cell a=3.8220 b=2.8542 c=6.4127 alpha=63.58 beta=90.00 gamma=90.00
Last column: nearest neighbours and their distance in Å.
Fractional positions:
Tc  0.5000  0.2500  0.2500  8 Rh 2.73, 2 Tc 2.85, 2 In 2.87
Rh  0.0000  0.5185  0.4810  3 Rh 2.65-2.85, 4 Tc 2.73, 4 In 2.84
Rh  0.0000  0.9815  0.0190  3 Rh 2.65-2.85, 4 Tc 2.73, 4 In 2.84
In  0.5000  0.7500  0.7500  8 Rh 2.84, 2 In 2.85, 2 Tc 2.87



No. 8
A relaxed structure of LaTl4Tc, computed with PBE.

Output
Energy of formation, eV per atom: 0.526
Electronic total energy, eV for the cell shown: -21.6
Crystal system: cubic
Space-group type: F-43m (216)
ρ, kg/m3: 10680

Unit cell a=6.1433 b=6.1433 c=6.1433 alpha=60.00 beta=60.00 gamma=60.00
Last column: nearest neighbours and their distance in Å.
Fractional positions:
La  0.7500  0.7500  0.7500  12 Tl 3.60, 4 Tc 3.76
Tl  0.3743  0.8771  0.3743  6 Tl 3.05-3.09
Tl  0.3743  0.3743  0.3743  6 Tl 3.05-3.09
Tl  0.3743  0.3743  0.8771  6 Tl 3.05-3.09
Tl  0.8771  0.3743  0.3743  6 Tl 3.05-3.09
Tc  0.0000  0.0000  0.0000  12 Tl 3.60, 4 La 3.76



Please write out number 7 again, unchanged.
A relaxed structure of InTcRh2, computed with PBE.

Output
Energy of formation, eV per atom: -0.090
Electronic total energy, eV for the cell shown: -28.2
Crystal system: orthorhombic
Space-group type: Pmmm (47)
ρ, kg/m3: 11096

Unit cell a=3.8220 b=2.8542 c=6.4127 alpha=63.58 beta=90.00 gamma=90.00
Last column: nearest neighbours and their distance in Å.
Fractional positions:
Tc  0.5000  0.2500  0.2500  8 Rh 2.73, 2 Tc 2.85, 2 In 2.87
Rh  0.0000  0.5185  0.4810  3 Rh 2.65-2.85, 4 Tc 2.73, 4 In 2.84
Rh  0.0000  0.9815  0.0190  3 Rh 2.65-2.85, 4 Tc 2.73, 4 In 2.84
In  0.5000  0.7500  0.7500  8 Rh 2.84, 2 In 2.85, 2 Tc 2.87



> Which of these has the highest electronic total energy?

Ge2AuBr